Below is an optimized crystal structure of KBaCoO4, with properties calculated at the PBE with a Hubbard U level.

Cell and atoms, written as POSCAR:
```
KBaCoO4
1.0
0.000 4.659 4.659
4.659 0.000 4.659
4.659 4.659 0.000
K Ba Co O
1 1 1 4
Direct
0.000 0.000 0.000
0.250 0.250 0.250
0.750 0.750 0.750
0.430 0.857 0.857
0.857 0.430 0.857
0.857 0.857 0.430
0.857 0.857 0.857
```

E_tot = -33.48 eV per cell
ρ = 2458 kg/m³